Entry 1:
{"formula": "MgSc2Mn", "functional": "PBE", "state": "relaxed", "lattice_angstrom": [[3.104, 0.426, 0.000], [-0.427, 3.104, 0.000], [0.000, 0.000, 8.484]], "species": ["Mg", "Mn", "Sc", "Sc"], "frac_coords": [[0.000, 0.000, 0.535], [0.500, 0.500, 0.751], [0.000, 0.000, 0.957], [0.500, 0.500, 0.257]], "sg": "P4mm, No. 99", "dft_energy_ha_per_atom": -0.2115, "formation_energy_ev_per_atom": 0.10}

=====

Entry 2:
{"formula": "MgSc2Mn", "functional": "PBE", "state": "relaxed", "lattice_angstrom": [[9.380, 0.007, 0.004], [8.837, 3.145, 0.004], [8.837, 1.529, 2.749]], "species": ["Mg", "Mn", "Sc", "Sc"], "frac_coords": [[0.250, 0.250, 0.250], [0.750, 0.750, 0.750], [0.017, 0.017, 0.017], [0.483, 0.483, 0.483]], "sg": "R-3m, No. 166", "dft_energy_ha_per_atom": -0.2079, "formation_energy_ev_per_atom": 0.20}

=====

Entry 3:
{"formula": "Mg4ScMn", "functional": "PBE", "state": "relaxed", "lattice_angstrom": [[-4.691, 1.400, 2.895], [-0.906, 5.411, 1.502], [-4.114, 3.004, -2.531]], "species": ["Mg", "Mg", "Mg", "Mg", "Sc", "Mn"], "frac_coords": [[0.874, 0.375, 0.375], [0.375, 0.375, 0.874], [0.375, 0.874, 0.375], [0.375, 0.375, 0.375], [0.000, 0.000, 0.000], [0.750, 0.750, 0.750]], "sg": "F-43m, No. 216", "dft_energy_ha_per_atom": -0.1248, "formation_energy_ev_per_atom": 0.25}

=====

Entry 4:
{"formula": "MgSc3Mn", "functional": "PBE", "state": "relaxed", "lattice_angstrom": [[-4.341, -0.026, 2.254], [1.768, -3.072, 3.370], [1.398, 3.806, 2.736]], "species": ["Sc", "Sc", "Sc", "Mg", "Mn"], "frac_coords": [[0.000, 0.500, 0.000], [0.000, 0.000, 0.500], [0.500, 0.000, 0.000], [0.500, 0.500, 0.500], [0.000, 0.000, 0.000]], "sg": "Pm-3m, No. 221", "dft_energy_ha_per_atom": -0.2115, "formation_energy_ev_per_atom": 0.20}

=====

Entry 5:
{"formula": "MgSc2Mn", "functional": "PBE", "state": "relaxed", "lattice_angstrom": [[5.874, -0.002, -0.012], [2.855, 5.133, 0.012], [-3.788, -3.546, 2.752]], "species": ["Mg", "Mn", "Sc", "Sc"], "frac_coords": [[0.475, 0.475, 0.000], [0.256, 0.756, 0.500], [0.029, 0.029, 0.000], [0.741, 0.241, 0.500]], "sg": "Imm2, No. 44", "dft_energy_ha_per_atom": -0.2111, "formation_energy_ev_per_atom": 0.11}

=====

Entry 6:
{"formula": "MgScMn3", "functional": "PBE", "state": "relaxed", "lattice_angstrom": [[-3.717, 0.260, 2.849], [2.010, -3.087, 2.903], [2.036, 3.521, 2.335]], "species": ["Sc", "Mg", "Mn", "Mn", "Mn"], "frac_coords": [[0.000, 0.000, 0.000], [0.500, 0.500, 0.500], [0.000, 0.500, 0.000], [0.000, 0.000, 0.500], [0.500, 0.000, 0.000]], "sg": "Pm-3m, No. 221", "dft_energy_ha_per_atom": -0.2182, "formation_energy_ev_per_atom": 1.15}

=====

Entry 7:
{"formula": "MgSc2Mn", "functional": "PBE", "state": "relaxed", "lattice_angstrom": [[3.198, 0.000, 0.000], [0.000, 3.188, 0.000], [0.000, 3.188, 7.836]], "species": ["Sc", "Sc", "Mg", "Mn"], "frac_coords": [[0.000, 0.052, 0.948], [0.000, 0.448, 0.552], [0.500, 0.250, 0.250], [0.500, 0.750, 0.750]], "sg": "Pmmm, No. 47", "dft_energy_ha_per_atom": -0.2162, "formation_energy_ev_per_atom": -0.03}

=====

Entry 8:
{"formula": "MgScMn3", "functional": "PBE", "state": "relaxed", "lattice_angstrom": [[4.656, 0.000, 0.000], [0.000, 4.656, 0.000], [0.000, 0.000, 4.656]], "species": ["Sc", "Mg", "Mn", "Mn", "Mn"], "frac_coords": [[0.500, 0.500, 0.500], [0.000, 0.000, 0.000], [0.000, 0.500, 0.000], [0.000, 0.000, 0.500], [0.500, 0.000, 0.000]], "sg": "Pm-3m, No. 221", "dft_energy_ha_per_atom": -0.2203, "formation_energy_ev_per_atom": 1.09}

=====

Entry 9:
{"formula": "MgSc2Mn", "functional": "PBE", "state": "relaxed", "lattice_angstrom": [[1.811, 0.000, 10.018], [-0.905, 1.568, 10.018], [-0.905, -1.568, 10.018]], "species": ["Sc", "Sc", "Mg", "Mn"], "frac_coords": [[0.894, 0.894, 0.894], [0.106, 0.106, 0.106], [0.000, 0.000, 0.000], [0.500, 0.500, 0.500]], "sg": "R-3m, No. 166", "dft_energy_ha_per_atom": -0.2032, "formation_energy_ev_per_atom": 0.33}

=====

Entry 10:
{"formula": "MgSc2Mn", "functional": "PBE", "state": "relaxed", "lattice_angstrom": [[-4.286, -1.540, 1.600], [0.566, -4.126, -2.440], [1.580, -1.457, 2.831]], "species": ["Mg", "Mn", "Sc", "Sc"], "frac_coords": [[0.500, 0.000, 0.500], [0.000, 0.500, 0.500], [0.000, 0.000, 0.000], [0.500, 0.500, 0.000]], "sg": "Cmmm, No. 65", "dft_energy_ha_per_atom": -0.2120, "formation_energy_ev_per_atom": 0.09}

=====

Entry 11:
{"formula": "TbMgScMn", "functional": "PBE", "state": "relaxed", "lattice_angstrom": [[5.036, 0.000, 0.000], [2.518, 4.361, 0.000], [2.518, 1.454, 4.112]], "species": ["Sc", "Mg", "Mn", "Tb"], "frac_coords": [[0.000, 0.000, 0.000], [0.750, 0.750, 0.750], [0.250, 0.250, 0.250], [0.500, 0.500, 0.500]], "sg": "F-43m, No. 216", "dft_energy_ha_per_atom": -0.1959, "formation_energy_ev_per_atom": 0.10}

=====

Entry 12:
{"formula": "MgSc2TiMn", "functional": "PBE", "state": "relaxed", "lattice_angstrom": [[-0.679, 1.539, 4.723], [-4.753, -0.511, -0.517], [0.336, -4.742, 1.593]], "species": ["Sc", "Sc", "Mg", "Mn", "Ti"], "frac_coords": [[0.000, 0.000, 0.500], [0.500, 0.000, 0.000], [0.000, 0.000, 0.000], [0.500, 0.500, 0.500], [0.000, 0.500, 0.000]], "sg": "P4/mmm, No. 123", "dft_energy_ha_per_atom": -0.1716, "formation_energy_ev_per_atom": 1.60}

=====

Entry 13:
{"formula": "TmMgScMn", "functional": "PBE", "state": "relaxed", "lattice_angstrom": [[4.994, 0.000, 0.000], [2.497, 4.325, 0.000], [2.497, 1.442, 4.078]], "species": ["Sc", "Mg", "Tm", "Mn"], "frac_coords": [[0.500, 0.500, 0.500], [0.250, 0.250, 0.250], [0.000, 0.000, 0.000], [0.750, 0.750, 0.750]], "sg": "F-43m, No. 216", "dft_energy_ha_per_atom": -0.1945, "formation_energy_ev_per_atom": 0.10}

=====

Entry 14:
{"formula": "MgScMn2Zn", "functional": "PBE", "state": "relaxed", "lattice_angstrom": [[-3.412, -2.429, 2.147], [-1.367, -1.749, -4.151], [2.940, -3.632, 0.562]], "species": ["Sc", "Zn", "Mn", "Mn", "Mg"], "frac_coords": [[0.500, 0.500, 0.500], [0.000, 0.000, 0.000], [0.000, 0.000, 0.500], [0.500, 0.000, 0.000], [0.000, 0.500, 0.000]], "sg": "P4/mmm, No. 123", "dft_energy_ha_per_atom": -0.1803, "formation_energy_ev_per_atom": 0.60}

=====

Entry 15:
{"formula": "MgMn5Se6", "functional": "PBE", "state": "relaxed", "lattice_angstrom": [[6.585, 0.166, 1.004], [1.625, 5.581, 3.255], [0.115, 0.061, 6.656]], "species": ["Mg", "Mn", "Mn", "Mn", "Mn", "Mn", "Se", "Se", "Se", "Se", "Se", "Se"], "frac_coords": [[0.000, 0.000, 0.000], [0.500, 0.165, 0.669], [0.000, 0.333, 0.334], [0.500, 0.500, 0.000], [0.000, 0.667, 0.666], [0.500, 0.835, 0.331], [0.748, 0.084, 0.335], [0.252, 0.581, 0.335], [0.250, 0.252, 0.000], [0.750, 0.748, 0.000], [0.748, 0.419, 0.665], [0.252, 0.916, 0.665]], "sg": "C2/m, No. 12", "dft_energy_ha_per_atom": -0.2271, "formation_energy_uncorrected_ev_per_atom": -0.48}

=====

Entry 16:
{"formula": "Mg3MnSe", "functional": "PBE", "state": "relaxed", "lattice_angstrom": [[5.108, 0.000, 0.000], [0.000, 5.108, 0.000], [0.000, 0.000, 5.108]], "species": ["Mg", "Mg", "Mg", "Mn", "Se"], "frac_coords": [[0.000, 0.500, 0.000], [0.000, 0.000, 0.500], [0.500, 0.000, 0.000], [0.000, 0.000, 0.000], [0.500, 0.500, 0.500]], "sg": "Pm-3m, No. 221", "dft_energy_ha_per_atom": -0.1083, "formation_energy_uncorrected_ev_per_atom": 0.54}

=====

Entry 17:
{"formula": "MgMnSe", "functional": "PBE", "state": "relaxed", "lattice_angstrom": [[-1.335, -1.521, 3.124], [1.768, -2.122, -2.495], [4.771, 1.003, 2.527]], "species": ["Mg", "Mn", "Se"], "frac_coords": [[0.000, 0.000, 0.970], [0.667, 0.333, 0.378], [0.333, 0.667, 0.652]], "sg": "P3m1, No. 156", "dft_energy_ha_per_atom": -0.1810, "formation_energy_uncorrected_ev_per_atom": -0.18}

=====

Entry 18:
{"formula": "Mg5MnSe6", "functional": "PBE", "state": "relaxed", "lattice_angstrom": [[6.656, 0.167, 1.014], [1.640, 5.645, 3.291], [0.114, 0.061, 6.733]], "species": ["Mg", "Mg", "Mg", "Mg", "Mg", "Mn", "Se", "Se", "Se", "Se", "Se", "Se"], "frac_coords": [[0.500, 0.166, 0.667], [0.000, 0.333, 0.333], [0.500, 0.500, 0.000], [0.000, 0.667, 0.667], [0.500, 0.834, 0.333], [0.000, 0.000, 0.000], [0.751, 0.083, 0.331], [0.249, 0.586, 0.331], [0.248, 0.249, 0.000], [0.752, 0.751, 0.000], [0.751, 0.414, 0.669], [0.249, 0.917, 0.669]], "sg": "C2/m, No. 12", "dft_energy_ha_per_atom": -0.1568, "formation_energy_uncorrected_ev_per_atom": -1.09}

=====

Entry 19:
{"formula": "MgMnSe", "functional": "PBE", "state": "relaxed", "lattice_angstrom": [[-2.559, 4.541, -2.151], [-3.733, 0.866, -4.135], [1.521, -2.949, 4.559]], "species": ["Mg", "Mn", "Se"], "frac_coords": [[0.986, 0.986, 0.000], [0.308, 0.308, 0.000], [0.705, 0.705, 0.000]], "sg": "I4mm, No. 107", "dft_energy_ha_per_atom": -0.1768, "formation_energy_uncorrected_ev_per_atom": -0.06}

=====

Entry 20:
{"formula": "MgMnSe", "functional": "PBE", "state": "relaxed", "lattice_angstrom": [[4.374, 0.000, 0.000], [2.187, 3.788, 0.000], [2.187, 1.263, 3.571]], "species": ["Mg", "Mn", "Se"], "frac_coords": [[0.500, 0.500, 0.500], [0.750, 0.750, 0.750], [0.000, 0.000, 0.000]], "sg": "F-43m, No. 216", "dft_energy_ha_per_atom": -0.1727, "formation_energy_uncorrected_ev_per_atom": 0.05}